Computed, not measured: Na2Ac2BiO6 after structural relaxation at the PBE level of DFT.

## Properties
Energy relative to the elements, uncorrected in eV/atom: -2.10
Fermi-level density of states in states/eV per cell: 3.27
Final energy in eV per atom: -6.15

Unit cell a=6.484 b=6.484 c=5.962 alpha=96.75 beta=96.75 gamma=120.35
Last column: magnetic moment on the atom in μB.
Sites, in units of the cell vectors:
O 0.647 0.969 0.302  0.08
O 0.240 0.240 0.281  0.14
O 0.760 0.760 0.719  0.14
O 0.353 0.031 0.698  0.08
O 0.031 0.353 0.698  0.08
O 0.969 0.647 0.302  0.08
Bi 0.000 0.000 0.500  0.11
Ac 0.337 0.663 0.500  0.01
Ac 0.663 0.337 0.500  0.01
Na 0.864 0.136 0.000  0.00
Na 0.136 0.864 0.000  0.00

Computed, not measured: Na3CoAg after structural relaxation at the PBE level of DFT.

## Properties
Fermi-level density of states in states/eV per cell: 10.38
ΔH_f (0 K) in eV/atom: 0.81
Final energy in eV per atom: -1.97

Unit cell a=5.403 b=5.403 c=5.403 alpha=90.00 beta=90.00 gamma=90.00
Last column: magnetic moment on the atom in μB.
Sites, in units of the cell vectors:
Na 0.500 0.000 0.000  -0.02
Na 0.000 0.500 0.000  -0.02
Na 0.000 0.000 0.500  -0.01
Ag 0.500 0.500 0.500  0.01
Co 0.000 0.000 0.000  1.63

Computed, not measured: Cs2KH2 after structural relaxation at the PBE level of DFT.

## Properties
Fermi-level density of states in states/eV per cell: 1.88
Final energy in eV per atom: -1.87

Unit cell a=5.568 b=5.568 c=9.307 alpha=72.59 beta=72.59 gamma=90.00
Sites, in units of the cell vectors:
K 0.000 0.000 0.000
Cs 0.314 0.314 0.373
Cs 0.686 0.686 0.627
H 0.750 0.250 0.500
H 0.250 0.750 0.500

Computed, not measured: TbNdGa2Pd5 after structural relaxation at the PBE level of DFT.

## Properties
Fermi-level density of states in states/eV per cell: 5.66
ΔH_f (0 K) in eV/atom: -0.78
Final energy in eV per atom: -5.38

Unit cell a=4.256 b=4.256 c=9.286 alpha=90.00 beta=90.00 gamma=90.00
Sites, in units of the cell vectors:
Pd 0.500 0.500 0.500
Pd 0.500 0.000 0.728
Pd 0.500 0.000 0.272
Pd 0.000 0.500 0.728
Pd 0.000 0.500 0.272
Nd 0.000 0.000 0.500
Ga 0.500 0.500 0.866
Ga 0.500 0.500 0.134
Tb 0.000 0.000 0.000

Computed, not measured: KScAlTe4 after structural relaxation at the PBE level of DFT.

## Properties
Energy relative to the elements, uncorrected in eV/atom: -0.78
Fermi-level density of states in states/eV per cell: 3.46
Final energy in eV per atom: -4.17

Unit cell a=7.420 b=6.529 c=10.084 alpha=90.00 beta=108.48 gamma=90.00
Sites, in units of the cell vectors:
Te 0.454 0.750 0.593
Te 0.030 0.990 0.702
Te 0.546 0.250 0.407
Te 0.970 0.010 0.298
Te 0.030 0.510 0.702
Te 0.970 0.490 0.298
Te 0.444 0.750 0.159
Te 0.556 0.250 0.841
K 0.759 0.750 0.950
K 0.241 0.250 0.050
Al 0.742 0.250 0.668
Al 0.258 0.750 0.332
Sc 0.258 0.250 0.556
Sc 0.742 0.750 0.444

Computed, not measured: Ta2CdS after structural relaxation at the PBE level of DFT.

## Properties
Energy relative to the elements, uncorrected in eV/atom: 0.46
Fermi-level density of states in states/eV per cell: 4.32
Final energy in eV per atom: -6.73

Unit cell a=4.598 b=4.598 c=4.598 alpha=60.00 beta=60.00 gamma=60.00
Sites, in units of the cell vectors:
S 0.000 0.000 0.000
Cd 0.500 0.500 0.500
Ta 0.750 0.750 0.750
Ta 0.250 0.250 0.250

Computed, not measured: LaPbAu after structural relaxation at the PBE level of DFT.

## Properties
Fermi-level density of states in states/eV per cell: 4.69
ΔH_f (0 K) in eV/atom: -0.36
Final energy in eV per atom: -4.33

Unit cell a=4.954 b=4.954 c=7.391 alpha=90.00 beta=90.00 gamma=90.00
Sites, in units of the cell vectors:
La 0.500 0.500 0.500
La 0.000 0.000 0.500
Au 0.500 0.000 0.250
Au 0.000 0.500 0.750
Pb 0.500 0.000 0.869
Pb 0.000 0.500 0.131

Computed, not measured: Pm2AgHg5 after structural relaxation at the PBE level of DFT.

## Properties
Fermi-level density of states in states/eV per cell: 5.86
ΔH_f (0 K) in eV/atom: -0.24
Final energy in eV per atom: -1.98

Unit cell a=5.275 b=5.275 c=8.035 alpha=109.16 beta=109.16 gamma=90.00
Last column: magnetic moment on the atom in μB.
Sites, in units of the cell vectors:
Hg 0.383 0.883 0.767  0.01
Hg 0.117 0.617 0.233  0.01
Hg 0.617 0.117 0.233  0.01
Hg 0.500 0.500 0.000  0.00
Hg 0.883 0.383 0.767  0.01
Ag 0.000 0.000 0.000  0.00
Pm 0.749 0.749 0.497  0.13
Pm 0.251 0.251 0.503  0.13

Computed, not measured: SmSn3Bi after structural relaxation at the PBE level of DFT.

## Properties
Fermi-level density of states in states/eV per cell: 3.89
ΔH_f (0 K) in eV/atom: -0.27
Final energy in eV per atom: -4.39

Unit cell a=5.134 b=9.449 c=6.556 alpha=82.97 beta=90.00 gamma=90.00
Sites, in units of the cell vectors:
Sn 0.250 0.521 0.369
Sn 0.250 0.846 0.388
Sn 0.750 0.836 0.663
Sn 0.750 0.479 0.631
Sn 0.750 0.154 0.612
Sn 0.250 0.164 0.337
Sm 0.250 0.628 0.840
Sm 0.750 0.372 0.160
Bi 0.750 0.737 0.120
Bi 0.250 0.263 0.880

Computed, not measured: HoUFe after structural relaxation at the PBE level of DFT.

## Properties
Fermi-level density of states in states/eV per cell: 12.60
ΔH_f (0 K) in eV/atom: 0.09
Final energy in eV per atom: -8.01

Unit cell a=5.091 b=5.091 c=5.865 alpha=105.62 beta=105.62 gamma=112.32
Last column: magnetic moment on the atom in μB.
Sites, in units of the cell vectors:
Ho 0.680 0.320 0.000  0.10
Ho 0.320 0.680 0.000  0.10
U 0.812 0.812 0.625  1.66
U 0.188 0.188 0.375  1.66
Fe 0.250 0.750 0.500  -0.61
Fe 0.750 0.250 0.500  -0.61

Computed, not measured: Na3ScMo after structural relaxation at the PBE level of DFT.

## Properties
Fermi-level density of states in states/eV per cell: 0.51
ΔH_f (0 K) in eV/atom: 1.74
Final energy in eV per atom: -2.49

Unit cell a=5.300 b=5.300 c=5.300 alpha=90.00 beta=90.00 gamma=90.00
Sites, in units of the cell vectors:
Na 0.000 0.500 0.000
Na 0.000 0.000 0.500
Na 0.500 0.000 0.000
Mo 0.000 0.000 0.000
Sc 0.500 0.500 0.500

Computed, not measured: Pr3Er2NpN6 after structural relaxation at the PBE level of DFT.

## Properties
Energy relative to the elements, uncorrected in eV/atom: -1.44
Fermi-level density of states in states/eV per cell: 5.26
Final energy in eV per atom: -8.64

Unit cell a=6.085 b=6.085 c=6.201 alpha=99.42 beta=99.42 gamma=119.97
Last column: magnetic moment on the atom in μB.
Sites, in units of the cell vectors:
Pr 0.831 0.169 0.500  0.05
Pr 0.500 0.500 0.500  0.06
Pr 0.169 0.831 0.500  0.05
Er 0.334 0.666 0.000  0.03
Er 0.666 0.334 0.000  0.03
N 0.072 0.385 0.216  -0.06
N 0.385 0.072 0.216  -0.06
N 0.241 0.241 0.781  -0.05
N 0.928 0.615 0.784  -0.06
N 0.615 0.928 0.784  -0.06
N 0.759 0.759 0.219  -0.05
Np 0.000 0.000 0.000  1.98

Computed, not measured: Sc4Cu3Ir2 after structural relaxation at the PBE level of DFT.

## Properties
Fermi-level density of states in states/eV per cell: 5.29
ΔH_f (0 K) in eV/atom: -0.56
Final energy in eV per atom: -6.71

Unit cell a=4.454 b=4.463 c=8.766 alpha=89.70 beta=89.99 gamma=60.07
Sites, in units of the cell vectors:
Cu 0.666 0.667 0.521
Cu 0.334 0.333 0.479
Cu 0.000 0.000 0.000
Sc 0.001 0.997 0.327
Sc 0.999 0.003 0.673
Sc 0.334 0.332 0.111
Sc 0.666 0.668 0.889
Ir 0.332 0.335 0.787
Ir 0.668 0.665 0.213

Computed, not measured: PaNiAsS after structural relaxation at the PBE level of DFT.

## Properties
Energy relative to the elements, uncorrected in eV/atom: -1.06
Fermi-level density of states in states/eV per cell: 0.59
Final energy in eV per atom: -7.07

Unit cell a=4.173 b=4.173 c=8.102 alpha=90.00 beta=90.00 gamma=90.00
Sites, in units of the cell vectors:
Pa 0.500 0.000 0.724
Pa 0.000 0.500 0.276
S 0.500 0.500 0.500
S 0.000 0.000 0.500
Ni 0.000 0.000 0.000
Ni 0.500 0.500 0.000
As 0.500 0.000 0.155
As 0.000 0.500 0.845

Computed, not measured: TmMnSi2Ir after structural relaxation at the PBE level of DFT.

## Properties
Energy relative to the elements, uncorrected in eV/atom: -0.84
Fermi-level density of states in states/eV per cell: 4.01
Final energy in eV per atom: -7.51

Unit cell a=3.969 b=3.969 c=5.795 alpha=110.02 beta=110.02 gamma=90.00
Last column: magnetic moment on the atom in μB.
Sites, in units of the cell vectors:
Si 0.383 0.383 0.766  -0.04
Si 0.617 0.617 0.234  -0.04
Mn 0.750 0.250 0.500  2.33
Ir 0.250 0.750 0.500  0.05
Tm 0.000 0.000 0.000  0.03

Computed, not measured: CdICl after structural relaxation at the PBE level of DFT.

## Properties
Energy relative to the elements, uncorrected in eV/atom: -0.83
Fermi-level density of states in states/eV per cell: 0.00
Final energy in eV per atom: -2.26

Unit cell a=4.166 b=7.022 c=7.252 alpha=97.10 beta=90.00 gamma=90.00
Sites, in units of the cell vectors:
Cl 0.750 0.892 0.312
Cl 0.250 0.108 0.688
I 0.750 0.610 0.751
I 0.250 0.390 0.249
Cd 0.250 0.755 0.502
Cd 0.750 0.245 0.498